*P*
An optimized crystal structure of HfZr3Sc6, computed with PBE-GGA.

## Properties
* V: 23.9 Å³ per atom
* density of states at the Fermi level: 1.333 states/eV per atom

Cell: 9.866 16.833 5.762 Å, 90.00 90.00 90.00°
Space group Cmc2_1 (No. 36)
One atom of each set of equivalent atoms:
Hf1 0.000 0.199 0.000 (multiplicity 4)
Zr1 0.000 0.382 0.917 (multiplicity 4)
Zr2 0.180 0.117 0.323 (multiplicity 8)
Sc1 0.000 0.040 0.730 (multiplicity 4)
Sc2 0.000 0.258 0.514 (multiplicity 4)
Sc3 0.166 0.462 0.420 (multiplicity 8)
Sc4 0.235 0.295 0.247 (multiplicity 8)

*Q*
An optimized crystal structure of HfZr3Sc6, computed with PBE-GGA.

## Properties
* V: 23.6 Å³ per atom
* density of states at the Fermi level: 1.672 states/eV per atom

Cell: 10.097 3.201 15.436 Å, 90.00 109.03 90.00°
Space group P2_1/m (No. 11)
One atom of each set of equivalent atoms:
Hf1 0.156 0.250 0.318 (multiplicity 2)
Zr1 0.062 0.250 0.608 (multiplicity 2)
Zr2 0.245 0.750 0.997 (multiplicity 2)
Zr3 0.351 0.750 0.700 (multiplicity 2)
Sc1 0.041 0.750 0.105 (multiplicity 2)
Sc2 0.149 0.750 0.799 (multiplicity 2)
Sc3 0.249 0.750 0.503 (multiplicity 2)
Sc4 0.340 0.250 0.186 (multiplicity 2)
Sc5 0.440 0.250 0.900 (multiplicity 2)
Sc6 0.455 0.750 0.391 (multiplicity 2)

It turns out *Q* is the most stable, with the second structure 11.3 kJ/mol of atoms higher.

*P*
An optimized crystal structure of HfZrSc6, computed with PBE-GGA.

## Properties
* V: 23.8 Å³ per atom
* density of states at the Fermi level: 1.901 states/eV per atom

Cell: 5.066 9.794 7.687 Å, 90.00 90.00 90.00°
Space group Amm2 (No. 38)
One atom of each set of equivalent atoms:
Hf1 0.000 0.000 0.000 (multiplicity 2)
Zr1 0.000 0.000 0.413 (multiplicity 2)
Sc1 0.000 0.222 0.711 (multiplicity 4)
Sc2 0.500 0.000 0.164 (multiplicity 2)
Sc3 0.500 0.000 0.736 (multiplicity 2)
Sc4 0.500 0.228 0.447 (multiplicity 4)

*Q*
An optimized crystal structure of HfZrSc6, computed with PBE-GGA.

## Properties
* V: 24.1 Å³ per atom
* density of states at the Fermi level: 2.149 states/eV per atom

Cell: 10.5001 10.5001 6.0526 Å, 90.00 90.00 120.00°
Space group R-3m (No. 166, hexagonal axes)
One atom of each set of equivalent atoms:
Hf1 0.0000 0.0000 0.0000 (multiplicity 3)
Zr1 0.0000 0.0000 0.5000 (multiplicity 3)
Sc1 0.0007 0.5003 0.7498 (multiplicity 18)

It turns out *P* is the most stable, with the second structure 15.9 kJ/mol of atoms higher.

*P*
An optimized crystal structure of Hf4Se, computed with PBE-GGA.

## Properties
* V: 21.4 Å³ per atom
* density of states at the Fermi level: 0.332 states/eV per atom

Cell: 8.336 8.336 6.148 Å, 90.00 90.00 90.00°
Space group I-42d (No. 122)
One atom of each set of equivalent atoms:
Hf1 0.066 0.695 0.380 (multiplicity 16)
Se1 0.000 0.000 0.500 (multiplicity 4)

*Q*
An optimized crystal structure of Hf4Se, computed with PBE-GGA.

## Properties
* V: 23.8 Å³ per atom
* density of states at the Fermi level: 0.840 states/eV per atom

Cell: 4.920 4.920 4.920 Å, 90.00 90.00 90.00°
Space group Pm-3m (No. 221)
One atom of each set of equivalent atoms:
Hf1 0.000 0.000 0.000 (multiplicity 1)
Hf2 0.000 0.500 0.500 (multiplicity 3)
Se1 0.500 0.500 0.500 (multiplicity 1)

It turns out *P* is the most stable, with the second structure 45.1 kJ/mol of atoms higher.

*P*
An optimized crystal structure of HfSi3Se, computed with PBE-GGA.

## Properties
* V: 26.7 Å³ per atom
* density of states at the Fermi level: 0.931 states/eV per atom

Cell: 5.113 5.113 5.113 Å, 90.00 90.00 90.00°
Space group Pm-3m (No. 221)
One atom of each set of equivalent atoms:
Hf1 0.000 0.000 0.000 (multiplicity 1)
Si1 0.000 0.000 0.500 (multiplicity 3)
Se1 0.500 0.500 0.500 (multiplicity 1)

*Q*
An optimized crystal structure of HfSi3Se, computed with PBE-GGA.

## Properties
* V: 20.7 Å³ per atom
* density of states at the Fermi level: 0.883 states/eV per atom

Cell: 4.695 4.695 4.695 Å, 90.00 90.00 90.00°
Space group Pm-3m (No. 221)
One atom of each set of equivalent atoms:
Hf1 0.000 0.000 0.000 (multiplicity 1)
Si1 0.000 0.500 0.500 (multiplicity 3)
Se1 0.500 0.500 0.500 (multiplicity 1)

It turns out *Q* is the most stable, with the second structure 1.7 kJ/mol of atoms higher.